Record 1
Compound: LiDy2TlHg4
Source: the Alexandria database
Functional: PBE-GGA
Structure: optimized geometry

Output
Fermi-level density of states, states/eV/cell: 3.45
DFT formation energy, eV/atom: -0.379
Total magnetic moment, μB per cell: 0.00
Energy, eV per cell: -17.73

Lattice parameters (Å, degrees): 8.8125 8.8125 8.8125 33.74 33.74 33.74
Closest atoms and distances in Å follow each position.
Positions (direct):
Li1 0.0000 0.0000 0.0000  8 Hg 2.85-3.07
Dy1 0.2452 0.2452 0.2452  8 Hg 3.02-3.26
Dy2 0.7548 0.7548 0.7548  8 Hg 3.02-3.26
Tl1 0.5000 0.5000 0.5000  8 Hg 3.23-3.33, 6 Dy 3.54
Hg1 0.1145 0.1145 0.1145  1 Li 2.85, 3 Dy 3.03
Hg2 0.3665 0.3665 0.3665  4 Dy 3.02-3.26, 3 Li 3.07, 1 Tl 3.33, 3 Hg 3.38
Hg3 0.6335 0.6335 0.6335  4 Dy 3.02-3.26, 3 Li 3.07, 1 Tl 3.33, 3 Hg 3.38
Hg4 0.8855 0.8855 0.8855  1 Li 2.85, 3 Dy 3.03

***

Record 2
Compound: CdNiAs
Source: the Alexandria database
Functional: PBE-GGA
Structure: optimized geometry

Output
Fermi-level density of states, states/eV/cell: 7.24
DFT formation energy, eV/atom: -0.066
Total magnetic moment, μB per cell: 0.00
Energy, eV per cell: -46.18

Lattice parameters (Å, degrees): 6.0596 6.2726 6.4415 88.69 70.55 72.35
Closest atoms and distances in Å follow each position.
Positions (direct):
Cd1 0.0000 0.0000 0.0000  3 Ni 2.67-2.76, 1 As 2.73
Cd2 0.0212 0.4576 0.8432  4 Ni 2.74-2.90, 1 As 2.89, 2 Cd 3.05-3.06
Cd3 0.3804 0.6943 0.5691  4 Ni 2.66-2.84
Cd4 0.4490 0.4939 0.0446  3 Ni 2.70-2.77, 2 As 2.90-2.92
Ni1 0.5444 0.2458 0.6690  3 As 2.28-2.37
Ni2 0.6632 0.7891 0.1492  3 As 2.33-2.34
Ni3 0.7590 0.3788 0.2888  3 As 2.36-2.41, 1 Ni 2.61
Ni4 0.8892 0.8572 0.6565  3 As 2.32-2.34
As1 0.4848 0.9691 0.8970  3 Ni 2.28-2.33
As2 0.4988 0.1424 0.3469  3 Ni 2.31-2.41
As3 0.9399 0.6500 0.3374  3 Ni 2.34-2.36
As4 0.9755 0.1822 0.5157  3 Ni 2.34-2.37

***

Record 3
Compound: SrPt2Au8
Source: the Alexandria database
Functional: PBE-GGA
Structure: optimized geometry

Output
Fermi-level density of states, states/eV/cell: 1.94
DFT formation energy, eV/atom: 0.068
Total magnetic moment, μB per cell: 0.00
Energy, eV per cell: -39.23

Lattice parameters (Å, degrees): 5.6388 5.6388 8.7441 90.00 90.00 90.00
Closest atoms and distances in Å follow each position.
Positions (direct):
Sr1 0.0000 0.0000 0.0000  8 Au 3.20
Pt1 0.0000 0.5000 0.5000  8 Au 2.74
Pt2 0.5000 0.0000 0.5000  8 Au 2.74
Au1 0.2514 0.2514 0.2857  2 Pt 2.74, 4 Au 2.80-2.83
Au2 0.2514 0.2514 0.7143  2 Pt 2.74, 4 Au 2.80-2.83
Au3 0.2514 0.7486 0.2857  2 Pt 2.74, 4 Au 2.80-2.83
Au4 0.2514 0.7486 0.7143  2 Pt 2.74, 4 Au 2.80-2.83
Au5 0.7486 0.2514 0.2857  2 Pt 2.74, 4 Au 2.80-2.83
Au6 0.7486 0.2514 0.7143  2 Pt 2.74, 4 Au 2.80-2.83
Au7 0.7486 0.7486 0.2857  2 Pt 2.74, 4 Au 2.80-2.83
Au8 0.7486 0.7486 0.7143  2 Pt 2.74, 4 Au 2.80-2.83

***

Record 4
Compound: Tm2PuSb
Source: the Alexandria database
Functional: PBE-GGA
Structure: optimized geometry

Output
Fermi-level density of states, states/eV/cell: 10.84
Energy relative to the elements, uncorrected, eV per atom: -0.3925
Total magnetic moment, μB per cell: 6.54
Relative energy among the computed polymorphs, kJ/mol of formula units: 0
Energy, eV per cell: -28.97

Lattice parameters (Å, degrees): 4.7989 4.7989 4.5595 90.00 90.00 90.00
Closest atoms and distances in Å follow each position.
Positions (direct):
Tm1 0.0000 0.5000 0.0000  4 Sb 3.31, 4 Pu 3.31, 4 Tm 3.39
Tm2 0.5000 0.0000 0.0000  4 Sb 3.31, 4 Pu 3.31, 4 Tm 3.39
Pu1 0.0000 0.0000 0.5000  8 Tm 3.31, 4 Sb 3.39
Sb1 0.5000 0.5000 0.5000  8 Tm 3.31, 4 Pu 3.39

***

Record 5
Compound: RbSiPbO4
Source: the Alexandria database
Functional: PBE-GGA
Structure: optimized geometry

Output
Fermi-level density of states, states/eV/cell: 5.83
Energy relative to the elements, uncorrected, eV per atom: -1.8661
Total magnetic moment, μB per cell: 0.00
Energy, eV per cell: -85.99

Lattice parameters (Å, degrees): 5.8349 5.9505 7.6053 90.00 108.32 90.00
Closest atoms and distances in Å follow each position.
Positions (direct):
Rb1 0.1915 0.2500 0.4397  2 O 2.81-2.93
Rb2 0.8085 0.7500 0.5603  2 O 2.81-2.93
Si1 0.2470 0.7500 0.1560  4 O 1.65-1.67
Si2 0.7530 0.2500 0.8440  4 O 1.65-1.67
Pb1 0.2839 0.2500 0.9734  4 O 2.32-2.41
Pb2 0.7161 0.7500 0.0266  4 O 2.32-2.41
O1 0.0641 0.7500 0.9410  1 Si 1.65
O2 0.0749 0.7500 0.2920  1 Si 1.65
O3 0.4364 0.5314 0.1929  1 Si 1.67
O4 0.4364 0.9686 0.1929  1 Si 1.67
O5 0.5636 0.0314 0.8071  1 Si 1.67
O6 0.5636 0.4686 0.8071  1 Si 1.67
O7 0.9251 0.2500 0.7080  1 Si 1.65
O8 0.9359 0.2500 0.0590  1 Si 1.65

***

Record 6
Compound: LaHo2InAu4
Source: the Alexandria database
Functional: PBE-GGA
Structure: optimized geometry

Output
Fermi-level density of states, states/eV/cell: 4.30
DFT formation energy, eV/atom: -0.740
Total magnetic moment, μB per cell: 0.00
Energy, eV per cell: -35.85

Lattice parameters (Å, degrees): 9.3322 9.3322 9.3322 30.91 30.91 30.91
Closest atoms and distances in Å follow each position.
Positions (direct):
La1 0.0000 0.0000 0.0000  8 Au 3.17-3.22
Ho1 0.2370 0.2370 0.2370  7 Au 2.94-3.14
Ho2 0.7630 0.7630 0.7630  7 Au 2.94-3.14
In1 0.5000 0.5000 0.5000  8 Au 2.98-3.14
Au1 0.1192 0.1192 0.1192  4 Ho 2.94-3.14, 3 In 3.14, 1 La 3.17
Au2 0.3882 0.3882 0.3882  1 In 2.98, 3 Ho 3.08, 3 La 3.22
Au3 0.6118 0.6118 0.6118  1 In 2.98, 3 Ho 3.08, 3 La 3.22
Au4 0.8808 0.8808 0.8808  4 Ho 2.94-3.14, 3 In 3.14, 1 La 3.17